[1]
# TbCe2Ho3S6

A relaxed structure of TbCe2Ho3S6 (PBE, Alexandria).

a b c (Å): 6.794 11.782 6.862
angles (deg): 90.00 109.38 90.00
Space group C2/m (No. 12)
Unique sites:
Tb1 0.000 0.000 0.000 x2
Ce1 0.000 0.334 0.000 x4
Ho1 0.000 0.166 0.500 x4
Ho2 0.000 0.500 0.500 x2
S1 0.242 0.000 0.740 x4
S2 0.249 0.335 0.740 x8

energy relative to the elements, uncorrected: -194 kJ per mole of atoms

---

[2]
# Ti3Zn3Rh2

A relaxed structure of Ti3Zn3Rh2 (PBE, Alexandria).

a b c (Å): 7.0003 7.0003 2.9680
angles (deg): 90.00 90.00 120.00
Space group P-62m (No. 189)
Unique sites:
Ti1 0.0000 0.4145 0.0000 x3
Zn1 0.0000 0.7758 0.5000 x3
Rh1 0.3333 0.6667 0.5000 x2

DFT formation energy: -0.455 eV/atom

---

Magnetization values, unit μB per formula unit, following the record order: 1.50, 0.00.